[1]
Compound: Th3TcNi
Source: Alexandria via LeMat-Bulk
Functional: PBE-GGA
Structure: optimized geometry

Unit cell a=3.8936 b=9.7090 c=6.5487 alpha=90.00 beta=90.00 gamma=90.00
With the nearest neighbours (Å) after each atom.
Space group Pmmn (No. 59, origin choice 2)
Unique sites:
Th  0.2500  0.0590  0.2376  2 Ni 2.99, 2 Tc 3.03
Th  0.2500  0.2500  0.7372  2 Tc 2.70, 2 Ni 2.77
Tc  0.2500  0.7500  0.9761  2 Th 2.70, 1 Ni 2.71
Ni  0.2500  0.7500  0.5627  1 Tc 2.71, 6 Th 2.77-2.99

Results
The energy relative to the lowest polymorph listed for this composition is 0.0 kJ per mole of atoms. The calculated formation energy is -0.24 eV/atom.

=====

[2]
Compound: Tb2Dy2S7
Source: Alexandria via LeMat-Bulk
Functional: PBE-GGA
Structure: optimized geometry

Unit cell a=9.4943 b=9.9112 c=5.9425 alpha=90.00 beta=90.00 gamma=90.00
With the nearest neighbours (Å) after each atom.
Space group Cmmm (No. 65)
Unique sites:
Tb  0.2292  0.0000  0.0000  6 S 2.65-2.86
Dy  0.0000  0.2361  0.5000  7 S 2.62-2.84
S  0.0000  0.0000  0.2551  2 Tb 2.65, 2 Dy 2.76, 1 S 2.91
S  0.0000  0.5000  0.5000  2 Dy 2.62
S  0.2500  0.2500  0.2385  2 S 2.83-3.11, 2 Dy 2.84, 2 Tb 2.86

Results
The uncorrected formation energy is -1589 meV per atom.

=====

[3]
Compound: K2InSb2
Source: Alexandria via LeMat-Bulk
Functional: PBE-GGA
Structure: optimized geometry

Unit cell a=14.0910 b=5.0091 c=11.8682 alpha=90.00 beta=118.96 gamma=90.00
With the nearest neighbours (Å) after each atom.
Space group C2/m (No. 12)
Unique sites:
K  0.0104  0.0000  0.1693  6 Sb 3.57-3.77, 2 In 3.78, 1 K 3.88
K  0.1714  0.0000  0.5931  5 Sb 3.40-3.72
In  0.2004  0.5000  0.8561  4 Sb 2.97-3.01
Sb  0.0142  0.5000  0.3859  1 Sb 2.92, 1 In 3.00
Sb  0.1646  0.5000  0.0828  3 In 2.97-3.01

Results
The uncorrected formation energy is -368 meV per atom. The energy relative to the lowest polymorph listed for this composition is 0.0 kJ per mole of atoms.

=====

[4]
Compound: Tl5Cd
Source: Alexandria via LeMat-Bulk
Functional: PBE-GGA
Structure: optimized geometry

Unit cell a=4.6954 b=15.9814 c=4.7322 alpha=90.00 beta=90.00 gamma=90.00
With the nearest neighbours (Å) after each atom.
Space group Cmmm (No. 65)
Unique sites:
Tl  0.0000  0.0000  0.0000  4 Cd 3.33, 8 Tl 3.51-3.53
Tl  0.0000  0.1638  0.5000  10 Tl 3.33-3.64, 2 Cd 3.52
Tl  0.0000  0.3365  0.0000  10 Tl 3.33-3.64, 2 Cd 3.53
Cd  0.0000  0.5000  0.5000  12 Tl 3.33-3.53

Results
The energy relative to the lowest polymorph listed for this composition is 0.7 kJ per mole of atoms. The calculated formation energy is 0.03 eV/atom.